First-principles (PBE) data for a relaxed YMn2Si crystal, as listed in Alexandria via LeMat-Bulk.

Summary:
M_tot   5.58 μB/f.u.
Energy relative to the elements, uncorrected   30.3 meV per atom
Calculated total energy   -7.526 eV/atom

The structure in CIF format:
```
data_YMn2Si
_chemical_formula_sum 'Y2 Mn4 Si2'
_cell_length_a 3.677
_cell_length_b 4.250
_cell_length_c 8.848
_cell_angle_alpha 90.00
_cell_angle_beta 90.00
_cell_angle_gamma 90.00
_space_group_name_H-M_alt 'I m m 2'
_space_group_IT_number 44
loop_
_space_group_symop_operation_xyz
'x,y,z'
'-x,-y,z'
'-x,y,z'
'x,-y,z'
'x+1/2,y+1/2,z+1/2'
'-x+1/2,-y+1/2,z+1/2'
'-x+1/2,y+1/2,z+1/2'
'x+1/2,-y+1/2,z+1/2'
loop_
_atom_site_label
_atom_site_fract_x
_atom_site_fract_y
_atom_site_fract_z
_atom_site_occupancy
Y1 0.000 0.000 0.000 1
Mn1 0.000 0.000 0.559 1
Mn2 0.000 0.500 0.764 1
Si1 0.000 0.500 0.239 1
```

=====

First-principles (PBE) data for a relaxed RbPrTm4S8 crystal, as listed in Alexandria via LeMat-Bulk.

Summary:
M_tot   0.00 μB/f.u.
Energy relative to the elements, uncorrected   -1877.9 meV per atom
Calculated total energy   -5.925 eV/atom

The structure in CIF format:
```
data_RbPrTm4S8
_chemical_formula_sum 'Rb3 Pr3 Tm12 S24'
_cell_length_a 8.1548
_cell_length_b 8.1548
_cell_length_c 20.7133
_cell_angle_alpha 90.00
_cell_angle_beta 90.00
_cell_angle_gamma 120.00
_space_group_name_H-M_alt 'R 3 m'
_space_group_IT_number 160
_space_group_name_Hall 'R 3 -2"'
loop_
_atom_site_label
_atom_site_fract_x
_atom_site_fract_y
_atom_site_fract_z
_atom_site_occupancy
Rb1 0.0000 0.0000 0.0000 1
Pr1 0.0000 0.0000 0.6372 1
Tm1 0.0000 0.0000 0.2574 1
Tm2 0.1723 0.3445 0.4636 1
S1 0.0000 0.0000 0.3886 1
S2 0.0000 0.0000 0.8603 1
S3 0.0413 0.5207 0.3936 1
S4 0.1729 0.3457 0.2105 1
```

=====

First-principles (PBE) data for a relaxed Cd7BiAu4 crystal, as listed in Alexandria via LeMat-Bulk.

Summary:
M_tot   0.00 μB/f.u.
Calculated total energy   -2.022 eV/atom

The structure in CIF format:
```
data_Cd7BiAu4
_chemical_formula_sum 'Cd7 Bi1 Au4'
_cell_length_a 4.935
_cell_length_b 7.421
_cell_length_c 7.612
_cell_angle_alpha 88.12
_cell_angle_beta 87.40
_cell_angle_gamma 74.66
_space_group_name_H-M_alt 'P -1'
_space_group_IT_number 2
loop_
_space_group_symop_operation_xyz
'x,y,z'
'-x,-y,-z'
loop_
_atom_site_label
_atom_site_fract_x
_atom_site_fract_y
_atom_site_fract_z
_atom_site_occupancy
Cd1 0.000 0.000 0.000 1
Cd2 0.300 0.556 0.837 1
Cd3 0.307 0.358 0.474 1
Cd4 0.475 0.104 0.773 1
Bi1 0.000 0.000 0.500 1
Au1 0.107 0.664 0.226 1
Au2 0.275 0.263 0.119 1
```

=====

First-principles (PBE) data for a relaxed AcPm5PrNd2 crystal, as listed in Alexandria via LeMat-Bulk.

Summary:
M_tot   0.00 μB/f.u.
Calculated total energy   -4.432 eV/atom

The structure in CIF format:
```
data_AcPm5PrNd2
_chemical_formula_sum 'Ac4 Pm20 Pr4 Nd8'
_cell_length_a 9.076
_cell_length_b 9.076
_cell_length_c 15.892
_cell_angle_alpha 90.00
_cell_angle_beta 90.00
_cell_angle_gamma 90.00
_space_group_name_H-M_alt 'I 4/m c m'
_space_group_IT_number 140
_space_group_name_Hall '-I 4 2c'
loop_
_atom_site_label
_atom_site_fract_x
_atom_site_fract_y
_atom_site_fract_z
_atom_site_occupancy
Ac1 0.000 0.500 0.250 1
Pm1 0.000 0.000 0.000 1
Pm2 0.210 0.290 0.132 1
Pr1 0.000 0.000 0.250 1
Nd1 0.115 0.385 0.500 1
```

=====

First-principles (PBE) data for a relaxed CaBeHgAu2 crystal, as listed in Alexandria via LeMat-Bulk.

Summary:
M_tot   0.00 μB/f.u.
Calculated total energy   -2.842 eV/atom

The structure in CIF format:
```
data_CaBeHgAu2
_chemical_formula_sum 'Ca1 Be1 Hg1 Au2'
_cell_length_a 4.656
_cell_length_b 4.656
_cell_length_c 4.738
_cell_angle_alpha 90.00
_cell_angle_beta 90.00
_cell_angle_gamma 90.00
_space_group_name_H-M_alt 'P 4/m m m'
_space_group_IT_number 123
_space_group_name_Hall '-P 4 2'
loop_
_atom_site_label
_atom_site_fract_x
_atom_site_fract_y
_atom_site_fract_z
_atom_site_occupancy
Ca1 0.000 0.000 0.000 1
Be1 0.500 0.500 0.500 1
Hg1 0.500 0.500 0.000 1
Au1 0.000 0.500 0.500 1
```

=====

First-principles (PBE) data for a relaxed In4AgP crystal, as listed in Alexandria via LeMat-Bulk.

Summary:
M_tot   0.00 μB/f.u.
Calculated total energy   -2.706 eV/atom

The structure in CIF format:
```
data_In4AgP
_chemical_formula_sum 'In16 Ag4 P4'
_cell_length_a 8.530
_cell_length_b 8.530
_cell_length_c 8.530
_cell_angle_alpha 90.00
_cell_angle_beta 90.00
_cell_angle_gamma 90.00
_space_group_name_H-M_alt 'F -4 3 m'
_space_group_IT_number 216
_space_group_name_Hall 'F -4 2 3'
loop_
_atom_site_label
_atom_site_fract_x
_atom_site_fract_y
_atom_site_fract_z
_atom_site_occupancy
In1 0.125 0.125 0.125 1
Ag1 0.000 0.000 0.500 1
P1 0.250 0.250 0.750 1
```

=====

First-principles (PBE) data for a relaxed Te2RhSe crystal, as listed in Alexandria via LeMat-Bulk.

Summary:
M_tot   0.00 μB/f.u.
Energy relative to the elements, uncorrected   -5.0 meV per atom
Calculated total energy   -4.285 eV/atom

The structure in CIF format:
```
data_Te2RhSe
_chemical_formula_sum 'Te4 Rh2 Se2'
_cell_length_a 3.578
_cell_length_b 4.422
_cell_length_c 12.100
_cell_angle_alpha 90.00
_cell_angle_beta 90.00
_cell_angle_gamma 90.00
_space_group_name_H-M_alt 'I m m m'
_space_group_IT_number 71
_space_group_name_Hall '-I 2 2'
loop_
_atom_site_label
_atom_site_fract_x
_atom_site_fract_y
_atom_site_fract_z
_atom_site_occupancy
Te1 0.000 0.000 0.167 1
Rh1 0.000 0.500 0.500 1
Se1 0.000 0.500 0.000 1
```

=====

First-principles (PBE) data for a relaxed Li15Zn2Pd2 crystal, as listed in Alexandria via LeMat-Bulk.

Summary:
M_tot   0.00 μB/f.u.
Calculated total energy   -2.229 eV/atom

The structure in CIF format:
```
data_Li15Zn2Pd2
_chemical_formula_sum 'Li45 Zn6 Pd6'
_cell_length_a 7.5648
_cell_length_b 7.5648
_cell_length_c 18.6623
_cell_angle_alpha 90.00
_cell_angle_beta 90.00
_cell_angle_gamma 120.00
_space_group_name_H-M_alt 'R -3 m'
_space_group_IT_number 166
_space_group_name_Hall '-R 3 2"'
loop_
_atom_site_label
_atom_site_fract_x
_atom_site_fract_y
_atom_site_fract_z
_atom_site_occupancy
Li1 0.0000 0.3130 0.0000 1
Li2 0.0000 0.5000 0.5000 1
Li3 0.0851 0.5426 0.1049 1
Zn1 0.0000 0.0000 0.0811 1
Pd1 0.0000 0.0000 0.2903 1
```

=====

no.,DOS(E_F) (states/eV per atom)
1,0.990
2,0.000
3,0.418
4,1.331
5,0.421
6,0.487
7,0.571
8,0.410